! Ag3CO3 (PBE, relaxed); values from VASP
&SYSTEM
  ibrav = 0, nat = 14, ntyp = 3
/
ATOMIC_SPECIES
Ag 107.87 Ag.upf
C 12.01 C.upf
O 16.00 O.upf
CELL_PARAMETERS angstrom
3.242 -5.614 0.000
3.242 5.614 0.000
0.000 0.000 6.434
ATOMIC_POSITIONS crystal
Ag 0.190 0.380 0.750
Ag 0.190 0.810 0.750
Ag 0.380 0.190 0.250
Ag 0.620 0.810 0.750
Ag 0.810 0.190 0.250
Ag 0.810 0.620 0.250
C 0.333 0.667 0.250
C 0.667 0.333 0.750
O 0.217 0.435 0.250
O 0.217 0.783 0.250
O 0.435 0.217 0.750
O 0.565 0.783 0.250
O 0.783 0.217 0.750
O 0.783 0.565 0.750
! **Formation energy without anion corrections**: -0.4408 eV/atom

=====

! CaTl2Fe (PBE, relaxed); values from VASP
&SYSTEM
  ibrav = 0, nat = 4, ntyp = 3
/
ATOMIC_SPECIES
Ca 40.08 Ca.upf
Tl 204.38 Tl.upf
Fe 55.84 Fe.upf
CELL_PARAMETERS angstrom
-1.766 2.099 6.941
1.766 -2.099 6.941
1.766 2.099 -6.941
ATOMIC_POSITIONS crystal
Ca 0.000 0.000 0.000
Tl 0.363 0.363 0.000
Tl 0.682 0.182 0.500
Fe 0.197 0.697 0.500
! **E_form**: 0.237 eV per atom

=====

! LiSnGe2Se4 (PBE, relaxed); values from VASP
&SYSTEM
  ibrav = 0, nat = 8, ntyp = 4
/
ATOMIC_SPECIES
Li 6.94 Li.upf
Sn 118.71 Sn.upf
Ge 72.64 Ge.upf
Se 78.96 Se.upf
CELL_PARAMETERS angstrom
0.000 5.695 4.060
3.977 0.000 4.060
3.977 5.695 0.000
ATOMIC_POSITIONS crystal
Li 0.000 0.000 0.000
Sn 0.496 0.496 0.504
Ge 0.236 0.236 0.264
Ge 0.736 0.736 0.764
Se 0.002 0.504 0.998
Se 0.266 0.769 0.231
Se 0.504 0.002 0.496
Se 0.769 0.266 0.734
! **Formation energy without anion corrections**: -0.4616 eV/atom

=====

! CoAgSb4 (PBE, relaxed); values from VASP
&SYSTEM
  ibrav = 0, nat = 6, ntyp = 3
/
ATOMIC_SPECIES
Co 58.93 Co.upf
Ag 107.87 Ag.upf
Sb 121.76 Sb.upf
CELL_PARAMETERS angstrom
0.000 4.341 4.341
4.341 0.000 4.341
4.341 4.341 0.000
ATOMIC_POSITIONS crystal
Co 0.000 0.000 0.000
Ag 0.250 0.250 0.250
Sb 0.126 0.625 0.625
Sb 0.625 0.126 0.625
Sb 0.625 0.625 0.126
Sb 0.625 0.625 0.625
! **Formation energy without anion corrections**: 0.8222 eV/atom

=====

| no. | N(E_F) (states/eV/cell) |
| --- | --- |
| 1 | 3.28 |
| 2 | 3.24 |
| 3 | 2.87 |
| 4 | 4.87 |